Record 1
First-principles (PBE) data for a relaxed Mn6ZnCo5 crystal, as listed in the Alexandria database.

POSCAR file:
```
Mn6ZnCo5
1.0
3.8692 -0.0231 1.2894
0.0310 5.7581 0.0103
0.0001 -0.0116 6.4494
Zn Mn Co
1 6 5
Cartesian
0.0000 0.0000 0.0000
3.2359 4.2806 3.2669
3.2206 1.4312 3.2618
1.9425 1.4751 0.6474
1.9576 4.2598 0.6524
0.6798 4.2922 4.4873
0.6644 1.4428 4.4822
2.5903 2.8559 5.1786
1.2966 -0.0116 2.5589
0.0155 2.8791 0.0052
2.5726 -0.0231 5.1798
1.3100 2.8675 2.5706
```

Computed properties:
ΔH_f (0 K)	24	meV per atom

Record 2
First-principles (PBE) data for a relaxed Hf2PaN crystal, as listed in the Alexandria database.

POSCAR file:
```
Hf2PaN
1.0
3.1596 0.0000 0.0000
1.5798 2.7363 0.0000
1.5798 0.9121 8.6979
Pa Hf N
1 2 1
Cartesian
0.0000 0.0000 0.0000
1.5798 0.9121 5.6225
4.7394 2.7363 3.0754
3.1596 1.8242 4.3489
```

Computed properties:
formation energy from raw total energies	-582.5	meV per atom
E above lowest polymorph	0	meV per atom

no.,total energy (eV per atom)
1,-7.628
2,-10.015